[1]
DFT (PBE) results for LaYAu2 after structural relaxation.

The structure belongs to space group C2/m (No. 12); the cell edges are 7.805, 4.218 and 7.274 Å and the angles 90.00°, 108.69° and 90.00°. The distinct sites, in fractional coordinates, are La at (0.000, 0.000, 0.000), Y at (0.000, 0.500, 0.500) and Au at (0.245, 0.000, 0.730).

Its formation enthalpy at 0 K is -718 meV per atom. The calculation puts the electronic total energy at -5.204 eV per atom.

=====

[2]
DFT (PBE) results for La2YAu after structural relaxation.

The structure belongs to space group P4mm (No. 99); the cell edges are 3.718, 3.718 and 8.817 Å and the angles 90.00°, 90.00° and 90.00°. The distinct sites, in fractional coordinates, are La at (0.000, 0.000, 0.000), La at (0.500, 0.500, 0.299), Y at (0.000, 0.000, 0.595) and Au at (0.500, 0.500, 0.772).

Its formation enthalpy at 0 K is -393 meV per atom. The calculation puts the electronic total energy at -5.292 eV per atom. For the energy above the lowest structure with this stoichiometry, the calculation gives 0 meV per atom.